# 1
# PBE KHf2Pb2, relaxed
# Excess energy over the best structure of this formula in the dataset in eV/atom: 0.0000
# Energy relative to the elements in eV/atom: 0.16
data_KHf2Pb2
_symmetry_space_group_name_H-M 'P 4/m b m'
_symmetry_Int_Tables_number 127
_symmetry_space_group_name_Hall '-P 4 2ab'
_cell_length_a 9.138
_cell_length_b 9.138
_cell_length_c 3.243
_cell_angle_alpha 90.00
_cell_angle_beta 90.00
_cell_angle_gamma 90.00
loop_
_atom_site_label
_atom_site_type_symbol
_atom_site_fract_x
_atom_site_fract_y
_atom_site_fract_z
K1 K 0.000 0.000 0.000
Hf1 Hf 0.117 0.383 0.000
Pb1 Pb 0.173 0.673 0.500

# 2
Here is a geometry-optimized Zr6Ga2H structure from Alexandria. Energies are from PBE.

CIF file:
```
data_Zr6Ga2H
_symmetry_space_group_name_H-M 'P 1 21/c 1'
_symmetry_Int_Tables_number 14
_cell_length_a 5.730
_cell_length_b 6.985
_cell_length_c 10.433
_cell_angle_alpha 90.00
_cell_angle_beta 123.27
_cell_angle_gamma 90.00
loop_
_symmetry_equiv_pos_as_xyz
'x,y,z'
'-x,-y,-z'
'-x,y+1/2,-z+1/2'
'x,-y+1/2,z+1/2'
loop_
_atom_site_label
_atom_site_type_symbol
_atom_site_fract_x
_atom_site_fract_y
_atom_site_fract_z
Zr1 Zr 0.092 0.190 0.460
Zr2 Zr 0.329 0.689 0.461
Zr3 Zr 0.375 0.023 0.249
Ga1 Ga 0.155 0.111 0.750
H1 H 0.500 0.000 0.500
```

# 3
# PBE SiNiRh2, relaxed
# Formation energy without anion corrections in eV per atom: -0.353
data_SiNiRh2
_symmetry_space_group_name_H-M 'C 1 2/m 1'
_symmetry_Int_Tables_number 12
_cell_length_a 8.589
_cell_length_b 2.764
_cell_length_c 4.591
_cell_angle_alpha 90.00
_cell_angle_beta 106.50
_cell_angle_gamma 90.00
loop_
_symmetry_equiv_pos_as_xyz
'x,y,z'
'-x,-y,-z'
'-x,y,-z'
'x,-y,z'
'x+1/2,y+1/2,z'
'-x+1/2,-y+1/2,-z'
'-x+1/2,y+1/2,-z'
'x+1/2,-y+1/2,z'
loop_
_atom_site_label
_atom_site_type_symbol
_atom_site_fract_x
_atom_site_fract_y
_atom_site_fract_z
Si1 Si 0.000 0.000 0.000
Ni1 Ni 0.000 0.500 0.500
Rh1 Rh 0.231 0.500 0.241

The evaluated total moment for the records listed, in turn: 0.17 0.00 0.00 μB/atom.
The evaluated final energy for the records listed, in turn: -55.3 -127.1 -54.6 eV per cell.
The evaluated Fermi-level density of states for the records listed, in turn: 0.49 1.21 0.88 states/eV per atom.